First-principles (GGA-PBE) data for an optimized crystal structure of ZnTc3Cl, as listed in Alexandria.

The structure in CIF format:
```
data_ZnTc3Cl
_chemical_formula_sum 'Zn1 Tc3 Cl1'
_symmetry_space_group_name_H-M 'P m -3 m'
_symmetry_Int_Tables_number 221
_symmetry_space_group_name_Hall '-P 4 2 3'
_cell_length_a 4.850
_cell_length_b 4.850
_cell_length_c 4.850
_cell_angle_alpha 90.00
_cell_angle_beta 90.00
_cell_angle_gamma 90.00
loop_
_atom_site_label
_atom_site_type_symbol
_atom_site_fract_x
_atom_site_fract_y
_atom_site_fract_z
_atom_site_occupancy
Zn1 Zn 0.000 0.000 0.000 1
Tc1 Tc 0.000 0.000 0.500 1
Cl1 Cl 0.500 0.500 0.500 1
```

Properties
As for the energy above the most stable polymorph in this dataset: 927 meV/atom. The uncorrected formation energy is 1.984 eV/atom. The calculation puts the total energy at -0.17860 Ha/atom.